Entry 1:
Compound: BeH8N2F4
Source: the Alexandria database
Functional: SCAN
Structure: single point on PBEsol structure

Properties
**ρ**: 1.7 g/cm³
**Total magnetic moment**: 0.00 μB/f.u.
**VASP energy**: -5.73 eV/atom
**N(E_F)**: 0.0 states/eV per cell

Cell and atoms, written as POSCAR:
```
BeH8N2F4
1.0
-2.454 3.842 3.759
-6.453 0.083 -4.298
-3.807 -7.876 5.564
N F H Be
8 16 32 4
Direct
0.250 0.169 0.922 N
0.750 0.627 0.790 N
0.250 0.373 0.210 N
0.250 0.873 0.290 N
0.250 0.669 0.578 N
0.750 0.127 0.710 N
0.750 0.331 0.422 N
0.750 0.831 0.078 N
0.250 0.530 0.823 F
0.250 0.637 0.036 F
0.030 0.883 0.854 F
0.970 0.117 0.146 F
0.470 0.383 0.646 F
0.250 0.030 0.677 F
0.470 0.883 0.854 F
0.750 0.363 0.964 F
0.250 0.137 0.464 F
0.530 0.617 0.354 F
0.750 0.970 0.323 F
0.750 0.470 0.177 F
0.030 0.383 0.646 F
0.530 0.117 0.146 F
0.970 0.617 0.354 F
0.750 0.863 0.536 F
0.389 0.667 0.517 H
0.250 0.287 0.876 H
0.750 0.565 0.702 H
0.392 0.794 0.301 H
0.108 0.794 0.301 H
0.111 0.167 0.983 H
0.750 0.900 0.441 H
0.608 0.206 0.699 H
0.108 0.294 0.199 H
0.250 0.435 0.298 H
0.889 0.333 0.483 H
0.889 0.833 0.017 H
0.250 0.470 0.140 H
0.392 0.294 0.199 H
0.111 0.667 0.517 H
0.892 0.706 0.801 H
0.750 0.530 0.860 H
0.250 0.787 0.624 H
0.389 0.167 0.983 H
0.611 0.833 0.017 H
0.750 0.065 0.798 H
0.611 0.333 0.483 H
0.608 0.706 0.801 H
0.750 0.030 0.640 H
0.250 0.935 0.202 H
0.250 0.600 0.941 H
0.750 0.400 0.059 H
0.750 0.713 0.124 H
0.750 0.213 0.376 H
0.892 0.206 0.699 H
0.250 0.100 0.559 H
0.250 0.970 0.360 H
0.750 0.015 0.173 Be
0.750 0.515 0.327 Be
0.250 0.985 0.827 Be
0.250 0.485 0.673 Be
```

***

Entry 2:
Compound: Be2NiH20N2O6F8
Source: the Alexandria database
Functional: SCAN
Structure: single point on PBEsol structure

Properties
**ρ**: 1.9 g/cm³
**Total magnetic moment**: 1.87 μB/f.u.
**VASP energy**: -6.09 eV/atom
**N(E_F)**: 0.0 states/eV per cell

Cell and atoms, written as POSCAR:
```
Be2NiH20N2O6F8
1.0
6.008 -0.044 0.000
-2.644 8.719 0.000
0.000 0.000 12.462
H F Be O Ni N
40 16 4 12 2 4
Direct
0.339 0.703 0.593 H
0.570 0.781 0.305 H
0.943 0.229 0.596 H
0.354 0.179 0.564 H
0.339 0.203 0.907 H
0.527 0.090 0.625 H
0.057 0.771 0.404 H
0.762 0.456 0.160 H
0.345 0.912 0.057 H
0.354 0.679 0.936 H
0.966 0.636 0.319 H
0.943 0.729 0.904 H
0.430 0.719 0.805 H
0.661 0.297 0.407 H
0.527 0.590 0.875 H
0.334 0.041 0.143 H
0.966 0.136 0.181 H
0.057 0.271 0.096 H
0.345 0.412 0.443 H
0.661 0.797 0.093 H
0.666 0.959 0.857 H
0.034 0.364 0.681 H
0.430 0.219 0.695 H
0.655 0.588 0.557 H
0.238 0.044 0.660 H
0.646 0.821 0.436 H
0.334 0.541 0.357 H
0.034 0.864 0.819 H
0.655 0.088 0.943 H
0.892 0.257 0.369 H
0.666 0.459 0.643 H
0.473 0.910 0.375 H
0.646 0.321 0.064 H
0.108 0.743 0.631 H
0.108 0.243 0.869 H
0.762 0.956 0.340 H
0.570 0.281 0.195 H
0.892 0.757 0.131 H
0.473 0.410 0.125 H
0.238 0.544 0.840 H
0.408 0.612 0.243 F
0.783 0.554 0.913 F
0.002 0.617 0.182 F
0.630 0.765 0.568 F
0.408 0.112 0.257 F
0.370 0.235 0.432 F
0.002 0.117 0.318 F
0.370 0.735 0.068 F
0.998 0.883 0.682 F
0.630 0.265 0.932 F
0.783 0.054 0.587 F
0.998 0.383 0.818 F
0.217 0.946 0.413 F
0.592 0.888 0.743 F
0.217 0.446 0.087 F
0.592 0.388 0.757 F
0.244 0.601 0.145 Be
0.756 0.899 0.645 Be
0.244 0.101 0.355 Be
0.756 0.399 0.855 Be
0.048 0.836 0.895 O
0.952 0.664 0.395 O
0.828 0.842 0.113 O
0.691 0.489 0.566 O
0.309 0.511 0.434 O
0.828 0.342 0.387 O
0.309 0.011 0.066 O
0.172 0.158 0.887 O
0.172 0.658 0.613 O
0.048 0.336 0.605 O
0.952 0.164 0.105 O
0.691 0.989 0.934 O
0.000 0.000 0.000 Ni
0.000 0.500 0.500 Ni
0.385 0.132 0.637 N
0.615 0.868 0.363 N
0.615 0.368 0.137 N
0.385 0.632 0.863 N
```

***

Entry 3:
Compound: BeHOF2
Source: the Alexandria database
Functional: SCAN
Structure: single point on PBEsol structure

Properties
**ρ**: 3.0 g/cm³
**Total magnetic moment**: 1.00 μB/f.u.
**VASP energy**: -4.73 eV/atom
**N(E_F)**: 1.7 states/eV per cell

Cell and atoms, written as POSCAR:
```
BeHOF2
1.0
2.592 0.000 0.000
0.000 3.695 0.000
0.000 0.000 3.695
F Be O H
2 1 1 1
Direct
0.000 0.500 0.000 F
0.000 0.000 0.500 F
0.500 0.500 0.500 Be
0.500 0.000 0.000 O
0.000 0.000 0.000 H
```

***

Entry 4:
Compound: HfBe3F
Source: the Alexandria database
Functional: SCAN
Structure: single point on PBEsol structure

Properties
**ρ**: 3.1 g/cm³
**Energy relative to the elements, uncorrected**: 1.718 eV/atom
**Total magnetic moment**: 0.00 μB/f.u.
**N(E_F)**: 3.9 states/eV per cell

Cell and atoms, written as POSCAR:
```
HfBe3F
1.0
4.958 0.000 0.000
0.000 4.958 0.000
0.000 0.000 4.958
Be Hf F
3 1 1
Direct
0.000 0.500 0.000 Be
0.000 0.000 0.500 Be
0.500 0.000 0.000 Be
0.000 0.000 0.000 Hf
0.500 0.500 0.500 F
```

***

Entry 5:
Compound: HfBeF3
Source: the Alexandria database
Functional: SCAN
Structure: single point on PBEsol structure

Properties
**ρ**: 5.5 g/cm³
**Energy relative to the elements, uncorrected**: -1.924 eV/atom
**Total magnetic moment**: 0.89 μB/f.u.
**Offset from the most stable computed form**: 0.000 eV per atom
**N(E_F)**: 2.3 states/eV per cell

Cell and atoms, written as POSCAR:
```
HfBeF3
1.0
-0.971 2.341 -3.328
-3.840 0.605 1.546
1.346 3.414 2.008
F Be Hf
3 1 1
Direct
0.000 0.500 0.000 F
0.500 0.000 0.000 F
0.000 0.000 0.500 F
0.500 0.500 0.500 Be
0.000 0.000 0.000 Hf
```

***

Entry 6:
Compound: HfBe2F
Source: the Alexandria database
Functional: SCAN
Structure: single point on PBEsol structure

Properties
**ρ**: 6.7 g/cm³
**Energy relative to the elements, uncorrected**: -0.192 eV/atom
**Total magnetic moment**: 1.31 μB/f.u.
**N(E_F)**: 4.6 states/eV per cell

Cell and atoms, written as POSCAR:
```
HfBe2F
1.0
5.288 0.002 0.003
-2.513 4.653 -0.003
-2.513 -1.656 4.348
Hf F Be
2 2 4
Direct
0.000 0.000 0.000 Hf
0.500 0.750 0.250 Hf
0.500 0.250 0.750 F
0.000 0.500 0.500 F
0.345 0.470 0.625 Be
0.845 0.375 0.720 Be
0.655 0.280 0.125 Be
0.155 0.875 0.530 Be
```

***

Entry 7:
Compound: HfBeF3
Source: the Alexandria database
Functional: SCAN
Structure: single point on PBEsol structure

Properties
**ρ**: 7.5 g/cm³
**Energy relative to the elements, uncorrected**: -1.493 eV/atom
**Total magnetic moment**: 2.26 μB/f.u.
**Offset from the most stable computed form**: 0.431 eV per atom
**N(E_F)**: 1.6 states/eV per cell

Cell and atoms, written as POSCAR:
```
HfBeF3
1.0
-0.643 2.989 2.232
-2.039 -2.179 2.330
3.125 -0.806 1.980
Be F Hf
1 3 1
Direct
0.000 0.000 0.000 Be
0.000 0.000 0.500 F
0.500 0.000 0.000 F
0.000 0.500 0.000 F
0.500 0.500 0.500 Hf
```

***

Entry 8:
Compound: BeHg2F
Source: the Alexandria database
Functional: SCAN
Structure: single point on PBEsol structure

Properties
**ρ**: 10.7 g/cm³
**Energy relative to the elements, uncorrected**: -0.339 eV/atom
**Total magnetic moment**: 0.00 μB/f.u.
**N(E_F)**: 2.0 states/eV per cell

Cell and atoms, written as POSCAR:
```
BeHg2F
1.0
-3.957 -1.908 -3.465
4.918 -1.045 -2.455
1.125 -5.407 -0.895
F Be Hg
2 2 4
Direct
0.000 0.000 0.000 F
0.500 0.250 0.250 F
0.500 0.750 0.750 Be
0.000 0.500 0.500 Be
0.486 0.625 0.389 Hg
0.986 0.861 0.625 Hg
0.514 0.125 0.861 Hg
0.014 0.389 0.125 Hg
```

***

Entry 9:
Compound: BeHgF2
Source: the Alexandria database
Functional: SCAN
Structure: single point on PBEsol structure

Properties
**ρ**: 6.9 g/cm³
**Energy relative to the elements, uncorrected**: -2.183 eV/atom
**Total magnetic moment**: 0.00 μB/f.u.
**N(E_F)**: 0.5 states/eV per cell

Cell and atoms, written as POSCAR:
```
BeHgF2
1.0
-2.066 -1.712 -0.514
0.082 -1.618 -2.199
3.501 -7.615 4.035
Hg F Be
1 2 1
Direct
0.000 0.000 0.000 Hg
0.135 0.135 0.595 F
0.865 0.865 0.405 F
0.500 0.500 0.500 Be
```

***

Entry 10:
Compound: Mn2BeHgF
Source: the Alexandria database
Functional: SCAN
Structure: single point on PBEsol structure

Properties
**ρ**: 4.8 g/cm³
**Energy relative to the elements, uncorrected**: 0.677 eV/atom
**Total magnetic moment**: 9.72 μB/f.u.
**N(E_F)**: 2.5 states/eV per cell

Cell and atoms, written as POSCAR:
```
Mn2BeHgF
1.0
-1.689 3.921 1.716
-4.696 -1.584 -1.002
-0.263 -2.119 4.584
Be Mn Hg F
1 2 1 1
Direct
0.500 0.500 0.500 Be
0.000 0.500 0.000 Mn
0.000 0.000 0.500 Mn
0.000 0.000 0.000 Hg
0.500 0.000 0.000 F
```

***

Entry 11:
Compound: BeHgOF2
Source: the Alexandria database
Functional: SCAN
Structure: single point on PBEsol structure

Properties
**ρ**: 5.5 g/cm³
**Energy relative to the elements, uncorrected**: -0.108 eV/atom
**Total magnetic moment**: 0.62 μB/f.u.
**N(E_F)**: 2.0 states/eV per cell

Cell and atoms, written as POSCAR:
```
BeHgOF2
1.0
4.152 0.000 0.000
0.000 4.386 0.000
0.000 0.000 4.386
Hg O F Be
1 1 2 1
Direct
0.000 0.000 0.000 Hg
0.500 0.000 0.000 O
0.000 0.500 0.000 F
0.000 0.000 0.500 F
0.500 0.500 0.500 Be
```

***

Entry 12:
Compound: BeIN2F
Source: the Alexandria database
Functional: SCAN
Structure: single point on PBEsol structure

Properties
**ρ**: 4.1 g/cm³
**Energy relative to the elements, uncorrected**: 1.013 eV/atom
**Total magnetic moment**: 0.00 μB/f.u.
**N(E_F)**: 2.7 states/eV per cell

Cell and atoms, written as POSCAR:
```
BeIN2F
1.0
-2.631 1.410 -1.558
-1.800 -0.226 2.836
2.112 5.946 1.814
Be N I F
1 2 1 1
Direct
0.000 0.000 0.000 Be
0.000 0.500 0.000 N
0.500 0.000 0.000 N
0.000 0.000 0.500 I
0.500 0.500 0.500 F
```

***

Please write out number 11 again, unchanged.
Compound: BeHgOF2
Source: the Alexandria database
Functional: SCAN
Structure: single point on PBEsol structure

Properties
**ρ**: 5.5 g/cm³
**Energy relative to the elements, uncorrected**: -0.108 eV/atom
**Total magnetic moment**: 0.62 μB/f.u.
**N(E_F)**: 2.0 states/eV per cell

Cell and atoms, written as POSCAR:
```
BeHgOF2
1.0
4.152 0.000 0.000
0.000 4.386 0.000
0.000 0.000 4.386
Hg O F Be
1 1 2 1
Direct
0.000 0.000 0.000 Hg
0.500 0.000 0.000 O
0.000 0.500 0.000 F
0.000 0.000 0.500 F
0.500 0.500 0.500 Be
```